This record from Alexandria describes crystalline LiAuBr3 at its relaxed geometry. The functional is PBE-GGA.

a = 7.6544 Å, b = 6.9802 Å, c = 11.1616 Å
α = 90.00°, β = 76.52°, γ = 90.00°
Last column: nearest neighbours and their distance in Å.
Positions (direct):
Br1 0.8136 0.3471 0.0786  1 Au 2.50, 2 Li 2.70-2.77
Br2 0.3450 0.3527 0.2862  1 Li 2.58, 1 Au 2.61
Br3 0.3514 0.1795 0.8746  1 Au 2.54, 2 Li 2.65-2.71
Br4 0.6864 0.8471 0.4214  1 Au 2.50, 2 Li 2.70-2.77
Br5 0.1486 0.6795 0.6254  1 Au 2.54, 2 Li 2.65-2.71
Br6 0.3136 0.1529 0.5786  1 Au 2.50, 2 Li 2.70-2.77
Br7 0.6550 0.6473 0.7138  1 Li 2.58, 1 Au 2.61
Br8 0.1550 0.8527 0.2138  1 Li 2.58, 1 Au 2.61
Br9 0.1864 0.6529 0.9214  1 Au 2.50, 2 Li 2.70-2.77
Br10 0.6486 0.8205 0.1254  1 Au 2.54, 2 Li 2.65-2.71
Br11 0.8514 0.3205 0.3746  1 Au 2.54, 2 Li 2.65-2.71
Br12 0.8450 0.1473 0.7862  1 Li 2.58, 1 Au 2.61
Li1 0.3758 0.8614 0.7318  5 Br 2.58-2.77
Li2 0.8758 0.6386 0.2318  5 Br 2.58-2.77
Li3 0.6242 0.1386 0.2682  5 Br 2.58-2.77
Li4 0.1242 0.3614 0.7682  5 Br 2.58-2.77
Au1 0.1066 0.1432 0.4355  3 Br 2.50-2.61, 1 Au 2.76
Au2 0.6066 0.3568 0.9355  3 Br 2.50-2.61, 1 Au 2.76
Au3 0.3934 0.6432 0.0645  3 Br 2.50-2.61, 1 Au 2.76
Au4 0.8934 0.8568 0.5645  3 Br 2.50-2.61, 1 Au 2.76

SG: P2_1/c, No. 14
Energy relative to the elements, uncorrected: -54.56 kJ/mol of atoms
Distance to the lowest polymorph of the same formula: 0.0 kJ per mole of atoms

This record from Alexandria describes crystalline Li2Au3Br6 at its relaxed geometry. The functional is PBE-GGA.

a = 7.1115 Å, b = 6.8818 Å, c = 15.8662 Å
α = 77.58°, β = 77.05°, γ = 58.89°
Last column: nearest neighbours and their distance in Å.
Positions (direct):
Br1 0.1325 0.9913 0.5919  1 Au 2.44, 1 Li 2.71
Br2 0.1979 0.3749 0.4049  1 Au 2.44, 1 Li 2.72
Br3 0.4919 0.2959 0.5930  1 Au 2.43
Br4 0.3807 0.2041 0.9070  1 Au 2.43
Br5 0.7156 0.5087 0.9081  1 Au 2.44, 1 Li 2.71
Br6 0.8675 0.0087 0.4081  1 Au 2.44, 1 Li 2.71
Br7 0.0223 0.8749 0.9049  1 Au 2.44, 1 Li 2.72
Br8 0.6193 0.7959 0.0930  1 Au 2.43
Br9 0.5081 0.7041 0.4070  1 Au 2.43
Br10 0.9777 0.1251 0.0951  1 Au 2.44, 1 Li 2.72
Br11 0.2844 0.4913 0.0919  1 Au 2.44, 1 Li 2.71
Br12 0.8021 0.6251 0.5951  1 Au 2.44, 1 Li 2.72
Li1 0.1636 0.6619 0.5089  6 Br 2.71-2.75
Li2 0.8364 0.3381 0.4911  6 Br 2.71-2.75
Li3 0.6655 0.1619 0.0089  6 Br 2.71-2.75
Li4 0.3345 0.8381 0.9911  6 Br 2.71-2.75
Au1 0.2297 0.4983 0.2489  2 Br 2.44
Au2 0.4753 0.2500 0.7500  2 Br 2.43
Au3 0.0231 0.9983 0.7489  2 Br 2.44
Au4 0.9769 0.0017 0.2511  2 Br 2.44
Au5 0.7703 0.5017 0.7511  2 Br 2.44
Au6 0.5247 0.7500 0.2500  2 Br 2.43

SG: C2/c, No. 15
Energy relative to the elements, uncorrected: -52.14 kJ/mol of atoms

This record from Alexandria describes crystalline Li2AuBr4 at its relaxed geometry. The functional is PBE-GGA.

a = 7.1865 Å, b = 7.1865 Å, c = 9.1197 Å
α = 113.20°, β = 113.20°, γ = 90.00°
Last column: nearest neighbours and their distance in Å.
Positions (direct):
Au1 0.7500 0.2500 0.5000  4 Br 2.61
Au2 0.0000 0.0000 0.0000  4 Br 2.61
Br1 0.7185 0.8026 0.0260  2 Li 2.57-2.70, 1 Au 2.61
Br2 0.4425 0.0267 0.4740  2 Li 2.57-2.70, 1 Au 2.61
Br3 0.7767 0.2815 0.9740  2 Li 2.57-2.70, 1 Au 2.61
Br4 0.1974 0.6925 0.9740  2 Li 2.57-2.70, 1 Au 2.61
Br5 0.3075 0.2233 0.0260  2 Li 2.57-2.70, 1 Au 2.61
Br6 0.9733 0.9685 0.5260  2 Li 2.57-2.70, 1 Au 2.61
Br7 0.0315 0.4474 0.4740  2 Li 2.57-2.70, 1 Au 2.61
Br8 0.5526 0.5575 0.5260  2 Li 2.57-2.70, 1 Au 2.61
Li1 0.3750 0.6250 0.2500  4 Br 2.57-2.70
Li2 0.3750 0.1250 0.7500  4 Br 2.57-2.70
Li3 0.8750 0.6250 0.2500  4 Br 2.57-2.70
Li4 0.3750 0.6250 0.7500  4 Br 2.57-2.70

SG: I4_1/a, No. 88
Energy relative to the elements, uncorrected: -75.60 kJ/mol of atoms
Distance to the lowest polymorph of the same formula: 3.9 kJ per mole of atoms

This record from Alexandria describes crystalline Li2AuBr at its relaxed geometry. The functional is PBE-GGA.

a = 5.5757 Å, b = 3.8242 Å, c = 3.8214 Å
α = 90.02°, β = 90.00°, γ = 90.00°
Last column: nearest neighbours and their distance in Å.
Positions (direct):
Au1 0.0000 0.3760 0.3757  6 Li 2.70-2.79
Br1 0.5000 0.8747 0.8743  6 Li 2.70-2.79
Li1 0.5000 0.3735 0.3741  4 Br 2.70-2.71, 2 Au 2.79
Li2 0.0000 0.8759 0.8760  4 Au 2.70, 2 Br 2.79

SG: Amm2, No. 38
Energy relative to the elements, uncorrected: -81.69 kJ/mol of atoms
Distance to the lowest polymorph of the same formula: 1.5 kJ per mole of atoms

no.,electronic total energy (eV per formula unit),calculated density (g/cm³)
1,-13.04,5.08
2,-29.64,5.60
3,-19.28,4.50
4,-12.16,5.93